[1]
This record from Alexandria describes a geometry-optimized AcPrDy2Bi4 structure. The functional is PBE-GGA.

Cell: 4.627 7.993 8.013 Å, 70.51 90.00 90.00°
Fractional coordinates of all 8 atoms:
Ac  0.500  0.500  0.000
Pr  0.000  0.500  0.500
Dy  0.000  0.000  0.000
Dy  0.500  0.000  0.500
Bi  0.000  0.769  0.738
Bi  0.000  0.231  0.262
Bi  0.500  0.765  0.250
Bi  0.500  0.235  0.750

Values from the calculation:
The formation energy comes out at -903 meV/atom. Its density of states at the Fermi level is 0.141 states/eV per atom. The total magnetization comes out at 0.00 μB per formula unit. Its total DFT energy (no corrections) is -40.8 eV per formula unit. The space group is P2/m.

=====

[2]
This record from Alexandria describes a geometry-optimized Mn2TlSi structure. The functional is PBE-GGA.

Cell: 7.174 7.174 7.174 Å, 27.39 27.39 27.39°
Fractional coordinates of all 4 atoms:
Mn  0.979  0.979  0.979
Mn  0.521  0.521  0.521
Si  0.250  0.250  0.250
Tl  0.750  0.750  0.750

Values from the calculation:
The value obtained for the energy relative to the elements, uncorrected is 0.30 eV per atom. Its density of states at the Fermi level is 0.555 states/eV per atom. The total magnetization comes out at 5.33 μB per formula unit. Its total DFT energy (no corrections) is -24.9 eV per formula unit. The space group is R-3m.

=====

[3]
This record from Alexandria describes a geometry-optimized CsGe2Pt4 structure. The functional is PBE-GGA.

Cell: 3.969 8.268 8.268 Å, 90.00 90.00 90.00°
Fractional coordinates of all 14 atoms:
Cs  0.500  0.000  0.000
Cs  0.000  0.500  0.500
Ge  0.000  0.229  0.771
Ge  0.000  0.771  0.229
Ge  0.500  0.729  0.729
Ge  0.500  0.271  0.271
Pt  0.000  0.090  0.345
Pt  0.000  0.910  0.655
Pt  0.500  0.155  0.590
Pt  0.500  0.845  0.410
Pt  0.500  0.410  0.845
Pt  0.500  0.590  0.155
Pt  0.000  0.345  0.090
Pt  0.000  0.655  0.910

Values from the calculation:
The formation energy comes out at -211 meV/atom. Its density of states at the Fermi level is 0.412 states/eV per atom. The total magnetization comes out at 0.00 μB per formula unit. Its total DFT energy (no corrections) is -35.7 eV per formula unit. The space group is P4_2/mnm.

=====

[4]
This record from Alexandria describes a geometry-optimized Nd3Tm7 structure. The functional is PBE-GGA.

Cell: 5.009 7.094 9.385 Å, 100.98 105.48 90.00°
Fractional coordinates of all 10 atoms:
Nd  0.000  0.000  0.000
Nd  0.802  0.399  0.603
Nd  0.198  0.601  0.397
Tm  0.000  0.500  0.000
Tm  0.800  0.900  0.601
Tm  0.200  0.100  0.399
Tm  0.599  0.300  0.198
Tm  0.401  0.700  0.802
Tm  0.600  0.802  0.200
Tm  0.400  0.198  0.800

Values from the calculation:
The polymorph energy (0 for the lowest one) is 0 meV per atom. The formation energy comes out at 25 meV/atom. Its density of states at the Fermi level is 1.397 states/eV per atom. The total magnetization comes out at 0.00 μB per formula unit. Its total DFT energy (no corrections) is -45.4 eV per formula unit. The space group is C2/m.

=====

Question: Among the records above, which one has the lowest total DFT energy (no corrections)?
Answer: Nd3Tm7

=====

Question: Among the records above, which one has the highest total magnetization?
Answer: Mn2TlSi

=====

Question: Which value of total magnetization does entry 4 give?
Answer: 0.00 μB per formula unit

=====

Question: Which value of total DFT energy (no corrections) does entry 3 give?
Answer: -35.7 eV per formula unit